# GGA-PBE InNiTe2, optimized geometry
data_InNiTe2
_space_group_name_H-M_alt 'R -3 m'
_space_group_IT_number 166
_space_group_name_Hall '-R 3 2"'
_cell_length_a 4.3507
_cell_length_b 4.3507
_cell_length_c 24.3220
_cell_angle_alpha 90.00
_cell_angle_beta 90.00
_cell_angle_gamma 120.00
loop_
_atom_site_label
_atom_site_fract_x
_atom_site_fract_y
_atom_site_fract_z
In1 0.0000 0.0000 0.0000
Ni1 0.0000 0.0000 0.5000
Te1 0.0000 0.0000 0.4014
# - formation energy without anion corrections (eV per atom) = 0.20
# - VASP energy (eV per atom) = -3.497

# GGA-PBE In2NiTe, optimized geometry
data_In2NiTe
_space_group_name_H-M_alt 'C 1 m 1'
_space_group_IT_number 8
_space_group_name_Hall 'C -2y'
_cell_length_a 7.015
_cell_length_b 4.072
_cell_length_c 7.347
_cell_angle_alpha 90.00
_cell_angle_beta 109.21
_cell_angle_gamma 90.00
loop_
_atom_site_label
_atom_site_fract_x
_atom_site_fract_y
_atom_site_fract_z
In1 0.000 0.000 0.000
In2 0.229 0.000 0.685
Ni1 0.496 0.000 0.490
Te1 0.280 0.500 0.345
# - formation energy without anion corrections (eV per atom) = -0.06
# - VASP energy (eV per atom) = -3.665